(1)
Here is an optimized crystal structure of Zn2InBr from the Alexandria database. Energies are from GGA-PBE.

Calculated values
polymorph energy (0 for the lowest one)	153.8	meV/atom
ΔE_f (raw)	0.01	eV/atom

Unit cell a=5.1578 b=5.1364 c=5.1225 alpha=70.39 beta=71.04 gamma=109.88
With the nearest neighbours (Å) after each atom.
Atoms (fractional coordinates):
Br 0.0000 0.5000 0.5000  4 Zn 2.96, 2 In 2.99
In 0.5000 0.5000 0.0000  4 Zn 2.96, 2 Br 2.99
Zn 0.0000 0.0000 0.0000  2 Br 2.96, 2 In 2.96, 2 Zn 2.99
Zn 0.5000 0.0000 0.5000  2 In 2.96, 2 Br 2.96, 2 Zn 2.99

***

(2)
Here is an optimized crystal structure of LaPr10Tm6 from the Alexandria database. Energies are from GGA-PBE.

Calculated values
final energy	-4.55	eV/atom

Unit cell a=6.9534 b=9.9072 c=9.9072 alpha=120.00 beta=90.00 gamma=90.00
With the nearest neighbours (Å) after each atom.
Atoms (fractional coordinates):
Pr 0.1758 0.2811 0.2811  5 Tm 3.43-3.64, 1 La 3.58, 4 Pr 3.71-3.79
Pr 0.5000 0.6667 0.3333  6 Tm 3.39, 2 Pr 3.48
Pr 0.5000 0.3333 0.6667  6 Tm 3.39, 2 Pr 3.48
Pr 0.1758 0.7189 0.0000  5 Tm 3.43-3.64, 1 La 3.58, 4 Pr 3.71-3.79
Pr 0.1758 0.0000 0.7189  5 Tm 3.43-3.64, 1 La 3.58, 4 Pr 3.71-3.79
Pr 0.8242 0.7189 0.7189  5 Tm 3.43-3.64, 1 La 3.58, 4 Pr 3.71-3.79
Pr 0.8242 0.0000 0.2811  5 Tm 3.43-3.64, 1 La 3.58, 4 Pr 3.71-3.79
Pr 0.0000 0.6667 0.3333  8 Pr 3.48-3.79, 6 Tm 3.86
Pr 0.0000 0.3333 0.6667  8 Pr 3.48-3.79, 6 Tm 3.86
Pr 0.8242 0.2811 0.0000  5 Tm 3.43-3.64, 1 La 3.58, 4 Pr 3.71-3.79
Tm 0.3196 0.3656 0.0000  7 Pr 3.39-3.64, 1 Tm 3.66
Tm 0.3196 0.0000 0.3656  7 Pr 3.39-3.64, 1 Tm 3.66
Tm 0.3196 0.6344 0.6344  7 Pr 3.39-3.64, 1 Tm 3.66
Tm 0.6804 0.0000 0.6344  7 Pr 3.39-3.64, 1 Tm 3.66
Tm 0.6804 0.3656 0.3656  7 Pr 3.39-3.64, 1 Tm 3.66
Tm 0.6804 0.6344 0.0000  7 Pr 3.39-3.64, 1 Tm 3.66
La 0.5000 0.0000 0.0000  6 Pr 3.58, 6 Tm 3.83

***

(3)
Here is an optimized crystal structure of Ho4SiGeC from the Alexandria database. Energies are from GGA-PBE.

Calculated values
ΔE_f (raw)	-0.60	eV/atom

Unit cell a=6.5881 b=6.5807 c=8.2236 alpha=90.00 beta=113.61 gamma=90.00
With the nearest neighbours (Å) after each atom.
Atoms (fractional coordinates):
Ho 0.5000 0.5000 0.5000  2 C 2.33
Ho 0.0814 0.7500 0.1627  1 C 2.54
Ho 0.9186 0.2500 0.8373  1 C 2.54
Ho 0.0000 0.0000 0.5000  2 C 2.33
Ho 0.5825 0.2500 0.1651  1 C 2.53
Ho 0.0000 0.5000 0.5000  2 C 2.33
Ho 0.5000 0.0000 0.5000  2 C 2.33
Ho 0.4175 0.7500 0.8349  1 C 2.53
Ge 0.6129 0.7500 0.2258  5 Ho 2.94-3.11
Ge 0.3871 0.2500 0.7742  5 Ho 2.94-3.11
Si 0.8858 0.7500 0.7716  5 Ho 2.95-3.10
Si 0.1142 0.2500 0.2284  5 Ho 2.95-3.10
C 0.2497 0.7500 0.4994  6 Ho 2.33-2.54
C 0.7503 0.2500 0.5006  6 Ho 2.33-2.54

***

(4)
Here is an optimized crystal structure of LaCr2RhS from the Alexandria database. Energies are from GGA-PBE.

Calculated values
ΔE_f (raw)	1.69	eV/atom

Unit cell a=5.2380 b=5.2223 c=5.2380 alpha=90.00 beta=90.00 gamma=90.00
With the nearest neighbours (Å) after each atom.
Atoms (fractional coordinates):
La 0.0000 0.0000 0.0000  2 S 2.61, 4 Cr 2.62
Cr 0.5000 0.0000 0.0000  2 La 2.62
Cr 0.0000 0.0000 0.5000  2 La 2.62
Rh 0.5000 0.5000 0.5000  8 Cr 3.70, 4 S 3.70
S 0.0000 0.5000 0.0000  2 La 2.61

***

(5)
Here is an optimized crystal structure of TaAgTeO6 from the Alexandria database. Energies are from GGA-PBE.

Calculated values
ΔE_f (raw)	-1.49	eV/atom

Unit cell a=5.3508 b=5.3508 c=10.4839 alpha=90.00 beta=90.00 gamma=120.00
With the nearest neighbours (Å) after each atom.
Atoms (fractional coordinates):
Ta 0.6667 0.3333 0.2500  6 O 2.02
Ta 0.3333 0.6667 0.7500  6 O 2.02
O 0.3794 0.3867 0.3540  1 Te 1.97, 1 Ta 2.02
O 0.3867 0.3794 0.8540  1 Te 1.97, 1 Ta 2.02
O 0.9928 0.6133 0.8540  1 Te 1.97, 1 Ta 2.02
O 0.6206 0.0072 0.8540  1 Te 1.97, 1 Ta 2.02
O 0.3867 0.0072 0.6460  1 Te 1.97, 1 Ta 2.02
O 0.3794 0.9928 0.1460  1 Te 1.97, 1 Ta 2.02
O 0.0072 0.6206 0.3540  1 Te 1.97, 1 Ta 2.02
O 0.9928 0.3794 0.6460  1 Te 1.97, 1 Ta 2.02
O 0.6133 0.6206 0.1460  1 Te 1.97, 1 Ta 2.02
O 0.6133 0.9928 0.3540  1 Te 1.97, 1 Ta 2.02
O 0.0072 0.3867 0.1460  1 Te 1.97, 1 Ta 2.02
O 0.6206 0.6133 0.6460  1 Te 1.97, 1 Ta 2.02
Ag 0.0000 0.0000 0.5000  6 O 2.56
Ag 0.0000 0.0000 0.0000  6 O 2.56
Te 0.6667 0.3333 0.7500  6 O 1.97
Te 0.3333 0.6667 0.2500  6 O 1.97

***

(6)
Here is an optimized crystal structure of CsPWCl2 from the Alexandria database. Energies are from GGA-PBE.

Calculated values
ΔE_f (raw)	-0.43	eV/atom

Unit cell a=5.2620 b=5.2620 c=4.7122 alpha=90.00 beta=90.00 gamma=90.00
With the nearest neighbours (Å) after each atom.
Atoms (fractional coordinates):
Cl 0.5000 0.0000 0.0000  2 W 2.63
Cl 0.0000 0.5000 0.0000  2 W 2.63
Cs 0.5000 0.5000 0.5000  8 Cl 3.53, 4 P 3.72
P 0.0000 0.0000 0.5000  2 W 2.36
W 0.0000 0.0000 0.0000  2 P 2.36, 4 Cl 2.63